The following is a DFT calculation (PBE) of crystalline TiSiTe2 at its relaxed geometry.

Results
D(E_F): 4.3 states/eV/cell

a = 6.382 Å, b = 6.382 Å, c = 12.785 Å
α = 90.00°, β = 90.00°, γ = 90.00°
Space group I-42d (No. 122)
Unique sites:
Ti: 0.000 0.000 0.000 (multiplicity 4)
Si: 0.000 0.000 0.500 (multiplicity 4)
Te: 0.242 0.250 0.125 (multiplicity 8)

=====

The following is a DFT calculation (PBE) of crystalline Ti2SiTe at its relaxed geometry.

Results
D(E_F): 18.9 states/eV/cell

a = 5.904 Å, b = 5.904 Å, c = 12.162 Å
α = 90.00°, β = 90.00°, γ = 90.00°
Space group I-42d (No. 122)
Unique sites:
Ti: 0.207 0.250 0.125 (multiplicity 8)
Si: 0.000 0.000 0.000 (multiplicity 4)
Te: 0.000 0.000 0.500 (multiplicity 4)

=====

The following is a DFT calculation (PBE) of crystalline TiSi3Te at its relaxed geometry.

Results
D(E_F): 4.0 states/eV/cell

a = 4.885 Å, b = 4.885 Å, c = 4.885 Å
α = 90.00°, β = 90.00°, γ = 90.00°
Space group Pm-3m (No. 221)
Unique sites:
Ti: 0.000 0.000 0.000 (multiplicity 1)
Si: 0.000 0.000 0.500 (multiplicity 3)
Te: 0.500 0.500 0.500 (multiplicity 1)

=====

The following is a DFT calculation (PBE) of crystalline Ti3SiTe3 at its relaxed geometry.

Results
D(E_F): 31.0 states/eV/cell

a = 10.770 Å, b = 10.770 Å, c = 10.770 Å
α = 90.00°, β = 90.00°, γ = 90.00°
Space group I4_132 (No. 214)
Unique sites:
Ti: 0.110 0.360 0.125 (multiplicity 24)
Si: 0.125 0.125 0.125 (multiplicity 8)
Te: 0.119 0.131 0.625 (multiplicity 24)

=====

What are the M_tot values for these records? In order: 1.976; 0.000; 0.000; 0.000 μB per formula unit.
What are the E_form (uncorrected) values for these records? In order: 0.16; 0.16; 0.67; -0.63 eV per atom.
What are the final energy values for these records? In order: -4.7430; -5.9243; -4.7921; -6.1379 eV per atom.